Entry from Alexandria via LeMat-Bulk: a relaxed structure of K2WSeO (PBE with a Hubbard U).

The structure in CIF format:
```
data_K2WSeO
_chemical_formula_sum 'K2 W1 Se1 O1'
_symmetry_space_group_name_H-M 'P 1'
_symmetry_Int_Tables_number 1
_cell_length_a 6.689
_cell_length_b 6.689
_cell_length_c 4.847
_cell_angle_alpha 90.00
_cell_angle_beta 90.00
_cell_angle_gamma 90.00
loop_
_symmetry_equiv_pos_as_xyz
'x,y,z'
loop_
_atom_site_label
_atom_site_type_symbol
_atom_site_fract_x
_atom_site_fract_y
_atom_site_fract_z
K1 K 0.000 0.500 0.000
K2 K 0.500 0.000 0.000
W1 W 0.000 0.000 0.000
Se1 Se 0.000 0.000 0.500
O1 O 0.500 0.500 0.500
```

Values from the calculation:
For the spin magnetization, the calculation gives 3.87 μB per formula unit. Its space group is P4/mmm, No. 123. Its calculated density is 2.73 g/cm³. The value obtained for the volume is 43.37 Å³/atom. The total energy is -3.04 eV per atom.